The following is a PBE calculation of a geometry-optimized Y2SbW structure, from the Alexandria database.

a = 4.551 Å, b = 5.922 Å, c = 5.922 Å
α = 39.14°, β = 90.00°, γ = 90.00°
Positions (direct):
Y: 0.000 0.000 0.000
Y: 0.500 0.292 0.292
Sb: 0.500 0.577 0.577
W: 0.000 0.724 0.724

Computed properties:
ΔE_f (raw) = -72.0 meV per atom
Size of the total moment = 0.003 μB per formula unit